# Mn2CdTe

An optimized crystal structure of Mn2CdTe (GGA-PBE, Alexandria).

Cell lengths 4.786, 4.786, 4.786 Å; angles 60.00, 60.00, 60.00 degrees
Last column: magnetic moment on the atom in μB.
Atoms (fractional coordinates):
Cd 0.000 0.000 0.000  -0.04
Mn 0.250 0.250 0.250  3.64
Mn 0.750 0.750 0.750  3.64
Te 0.500 0.500 0.500  0.01

* offset from the most stable computed form: 0.1658 eV/atom
* uncorrected formation energy: 0.39 eV per atom
* N(E_F): 3.72 states/eV per cell
* spin magnetization: 1.89 μB/atom